1.
Here is a relaxed structure of K2CaTcO4 from Alexandria via LeMat-Bulk. Energies are from PBE.

Lattice parameters (Å, degrees): 5.795 5.795 5.795 116.03 116.03 97.02
Fractional positions:
K (0.000, 0.000, 0.000)
K (0.750, 0.250, 0.500)
Ca (0.500, 0.500, 0.000)
Tc (0.250, 0.750, 0.500)
O (0.172, 0.076, 0.578)
O (0.406, 0.828, 0.904)
O (0.498, 0.594, 0.422)
O (0.924, 0.502, 0.096)

Calculated values
- space group = I-4, No. 82
- VASP energy (eV/cell) = -48.2
- total magnetic moment (μB per formula unit) = 1.010
- formation energy (no corrections) (eV per atom) = -1.726



2.
Here is a relaxed structure of K3TlTc2O8 from Alexandria via LeMat-Bulk. Energies are from PBE.

Lattice parameters (Å, degrees): 6.278 6.278 8.350 90.00 90.00 120.00
Fractional positions:
K (0.000, 0.000, 0.000)
K (0.333, 0.667, 0.677)
K (0.667, 0.333, 0.323)
Tl (0.000, 0.000, 0.500)
Tc (0.333, 0.667, 0.194)
Tc (0.667, 0.333, 0.806)
O (0.179, 0.358, 0.272)
O (0.179, 0.821, 0.272)
O (0.333, 0.667, 0.982)
O (0.358, 0.179, 0.728)
O (0.642, 0.821, 0.272)
O (0.667, 0.333, 0.018)
O (0.821, 0.179, 0.728)
O (0.821, 0.642, 0.728)

Calculated values
- space group = P-3m1, No. 164
- VASP energy (eV/cell) = -87.2
- total magnetic moment (μB per formula unit) = 2.026
- formation energy (no corrections) (eV per atom) = -1.514



These records have N(E_F) values of 1.8; 10.0 states/eV/cell, in the order they appear.